A relaxed structure of ErPdPt3, computed with GGA-PBE.

DFT formation energy: -50 kJ/mol of atoms
Crystal system: orthorhombic
E above lowest polymorph: 0 meV/atom
Density: 14.822 g/cm3

CIF file:
```
data_ErPdPt3
_space_group_name_H-M_alt 'C m c m'
_space_group_IT_number 63
_space_group_name_Hall '-C 2c 2'
_cell_length_a 7.176
_cell_length_b 9.728
_cell_length_c 5.513
_cell_angle_alpha 90.00
_cell_angle_beta 90.00
_cell_angle_gamma 90.00
loop_
_atom_site_label
_atom_site_fract_x
_atom_site_fract_y
_atom_site_fract_z
Er1 0.000 0.233 0.250
Pd1 0.000 0.500 0.000
Pt1 0.000 0.262 0.750
Pt2 0.185 0.021 0.750
```